This record from Alexandria via LeMat-Bulk describes a geometry-optimized Pm2Tm2Se2S3 structure. The functional is PBE.

Cell and atoms, written as POSCAR:
```
Pm2Tm2Se2S3
1.0
5.325 0.000 0.000
0.000 5.325 0.000
-2.663 -2.663 7.526
S Se Pm Tm
3 2 2 2
Direct
0.000 0.000 0.000
0.250 0.750 0.500
0.750 0.250 0.500
0.602 0.602 0.204
0.398 0.398 0.796
0.801 0.801 0.602
0.199 0.199 0.398
0.000 0.500 0.000
0.500 0.000 0.000
```

Values from the calculation:
For the uncorrected formation energy, the calculation gives -38.0 kcal/mol of atoms. The density of states at the Fermi level comes out at 3.8 states/eV/f.u. As for the symmetry: I4/mmm.

=====

This record from Alexandria via LeMat-Bulk describes a geometry-optimized TeAs2Pb2 structure. The functional is PBE.

Cell and atoms, written as POSCAR:
```
TeAs2Pb2
1.0
4.024 0.000 0.000
0.000 4.024 0.000
2.012 2.012 8.708
As Pb Te
2 2 1
Direct
0.250 0.750 0.500
0.750 0.250 0.500
0.608 0.608 0.784
0.392 0.392 0.216
0.000 0.000 0.000
```

Values from the calculation:
For the uncorrected formation energy, the calculation gives -1.0 kcal/mol of atoms. The density of states at the Fermi level comes out at 1.5 states/eV/f.u. For the relative energy among the computed polymorphs, the calculation gives 0 meV per atom. As for the symmetry: I4/mmm.

=====

This record from Alexandria via LeMat-Bulk describes a geometry-optimized CaNdLu2 structure. The functional is PBE.

Cell and atoms, written as POSCAR:
```
CaNdLu2
1.0
-0.101 -1.574 -4.892
-4.735 -1.680 0.638
-1.794 4.519 -1.417
Nd Lu Ca
1 2 1
Direct
0.500 0.500 0.500
0.000 0.500 0.000
0.000 0.000 0.500
0.500 0.000 0.000
```

Values from the calculation:
The density of states at the Fermi level comes out at 7.2 states/eV/f.u. For the relative energy among the computed polymorphs, the calculation gives 55 meV per atom. As for the symmetry: P4/mmm. The calculation puts the formation energy at 143 meV per atom.